Compound: Al4VCo
Source: Alexandria
Functional: PBE
Structure: optimized geometry

Computed properties:
The crystal system is monoclinic. The value obtained for the magnetic moment is 4.71 Bohr magnetons per cell. The space-group type is C2/m. Its density of states at the Fermi level is 0.65 states/eV/atom.

Lattice parameters (Å, degrees): 4.8259 7.1111 6.4902 90.00 126.97 90.00
Sites, in units of the cell vectors:
V1 0.5000 0.0000 0.5000
V2 0.0000 0.5000 0.5000
Co1 0.5000 0.5000 0.0000
Co2 0.0000 0.0000 0.0000
Al1 0.1596 0.1824 0.7617
Al2 0.3404 0.6824 0.2383
Al3 0.1594 0.8175 0.7616
Al4 0.3406 0.3175 0.2384
Al5 0.8404 0.8176 0.2383
Al6 0.6594 0.6825 0.7616
Al7 0.6596 0.3176 0.7617
Al8 0.8406 0.1825 0.2384

---

Compound: AlV4Co
Source: Alexandria
Functional: PBE
Structure: optimized geometry

Computed properties:
The crystal system is orthorhombic. The value obtained for the magnetic moment is 1.70 Bohr magnetons per cell. The space-group type is Imma. Its density of states at the Fermi level is 1.32 states/eV/atom.

Lattice parameters (Å, degrees): 4.3008 4.3009 9.1694 103.59 103.56 90.00
Sites, in units of the cell vectors:
V1 0.0912 0.5914 0.6825
V2 0.4088 0.9087 0.3175
V3 0.5912 0.0913 0.6825
V4 0.8324 0.8320 0.1647
V5 0.3324 0.3324 0.1647
V6 0.6676 0.6676 0.8353
V7 0.1676 0.1680 0.8353
V8 0.9088 0.4086 0.3175
Al1 0.5000 0.5000 0.5000
Al2 0.0000 0.0000 0.5000
Co1 0.7500 0.2485 0.0000
Co2 0.2500 0.7515 0.0000

---

Compound: Al2VCo
Source: Alexandria
Functional: PBE
Structure: optimized geometry

Computed properties:
The crystal system is tetragonal. The value obtained for the magnetic moment is 1.49 Bohr magnetons per cell. The space-group type is I-42d. Its density of states at the Fermi level is 1.04 states/eV/atom.

Lattice parameters (Å, degrees): 3.6322 3.6322 9.3261 78.77 78.77 90.00
Sites, in units of the cell vectors:
Co1 0.7500 0.2500 0.5000
Co2 0.0000 0.0000 0.0000
Al1 0.1223 0.6250 0.2500
Al2 0.8750 0.8777 0.7500
Al3 0.6277 0.1250 0.2500
Al4 0.3750 0.3723 0.7500
V1 0.5000 0.5000 0.0000
V2 0.2500 0.7500 0.5000

---

| no. | energy relative to the elements (eV/f.u.) |
| --- | --- |
| 1 | -0.6 |
| 2 | -0.4 |
| 3 | 1.2 |